The following is a PBE calculation of a relaxed FeSnOsPt crystal, from OQMD.

Lattice parameters (Å, degrees): 4.462 4.462 4.462 60.00 60.00 60.00
Element x y z (fractional)
Fe 0.000 0.000 0.000
Sn 0.750 0.750 0.750
Os 0.500 0.500 0.500
Pt 0.250 0.250 0.250

symmetry: F-43m (216)
V: 15.7 A^3/atom
raw total energy: -7.134 eV per atom
magnetization: 2.8 Bohr magnetons per cell